VASP calculation (GGA-PBE) on a relaxed structure of CsHg2PdAu.

Computed properties:
mass density: 8.6 g/cm3
offset from the most stable computed form: 1.24 eV per formula unit
Fermi-level density of states: 2.16 states/eV per cell
ΔH_f (0 K): 31 meV per atom

Cell: 5.466 5.466 5.397 Å, 90.00 90.00 90.00°
Space group P4/mmm (No. 123)
Asymmetric unit:
Cs 0.000 0.000 0.000 (multiplicity 1)
Hg 0.000 0.500 0.500 (multiplicity 2)
Pd 0.500 0.500 0.000 (multiplicity 1)
Au 0.500 0.500 0.500 (multiplicity 1)



VASP calculation (GGA-PBE) on a relaxed structure of Cs2HgPdAu.

Computed properties:
mass density: 5.8 g/cm3
offset from the most stable computed form: 0.29 eV per formula unit
Fermi-level density of states: 2.05 states/eV per cell
ΔH_f (0 K): -51 meV per atom

Cell: 6.450 6.450 5.284 Å, 90.00 90.00 90.00°
Space group P4/mmm (No. 123)
Asymmetric unit:
Cs 0.000 0.500 0.000 (multiplicity 2)
Hg 0.000 0.000 0.500 (multiplicity 1)
Pd 0.500 0.500 0.000 (multiplicity 1)
Au 0.500 0.500 0.500 (multiplicity 1)



VASP calculation (GGA-PBE) on a relaxed structure of Cs2HgPdAu.

Computed properties:
mass density: 5.6 g/cm3
offset from the most stable computed form: 0.00 eV per formula unit
Fermi-level density of states: 0.93 states/eV per cell
ΔH_f (0 K): -109 meV per atom

Cell: 6.541 6.541 5.294 Å, 90.00 90.00 90.00°
Space group P4/mmm (No. 123)
Asymmetric unit:
Cs 0.000 0.500 0.000 (multiplicity 2)
Hg 0.000 0.000 0.500 (multiplicity 1)
Pd 0.000 0.000 0.000 (multiplicity 1)
Au 0.500 0.500 0.500 (multiplicity 1)



VASP calculation (GGA-PBE) on a relaxed structure of CsHg2PdAu.

Computed properties:
mass density: 8.8 g/cm3
offset from the most stable computed form: 0.00 eV per formula unit
Fermi-level density of states: 0.43 states/eV per cell
ΔH_f (0 K): -216 meV per atom

Cell: 5.386 5.386 5.427 Å, 90.00 90.00 90.00°
Space group P4/mmm (No. 123)
Asymmetric unit:
Cs 0.000 0.000 0.000 (multiplicity 1)
Hg 0.000 0.500 0.500 (multiplicity 2)
Pd 0.500 0.500 0.500 (multiplicity 1)
Au 0.500 0.500 0.000 (multiplicity 1)



VASP calculation (GGA-PBE) on a relaxed structure of CsHgPdAu2.

Computed properties:
mass density: 9.2 g/cm3
Fermi-level density of states: 0.82 states/eV per cell
ΔH_f (0 K): -76 meV per atom

Cell: 5.329 5.329 5.301 Å, 90.00 90.00 90.00°
Space group P4/mmm (No. 123)
Asymmetric unit:
Cs 0.000 0.000 0.000 (multiplicity 1)
Hg 0.500 0.500 0.000 (multiplicity 1)
Pd 0.500 0.500 0.500 (multiplicity 1)
Au 0.000 0.500 0.500 (multiplicity 2)



VASP calculation (GGA-PBE) on a relaxed structure of CsHgPtAu2.

Computed properties:
mass density: 10.2 g/cm3
Fermi-level density of states: 0.95 states/eV per cell
ΔH_f (0 K): -85 meV per atom

Cell: 5.340 5.340 5.272 Å, 90.00 90.00 90.00°
Space group P4/mmm (No. 123)
Asymmetric unit:
Cs 0.000 0.000 0.000 (multiplicity 1)
Hg 0.500 0.500 0.000 (multiplicity 1)
Pt 0.500 0.500 0.500 (multiplicity 1)
Au 0.000 0.500 0.500 (multiplicity 2)



Number 1: total energy -1.954 eV/atom. Number 2: total energy -2.147 eV/atom. Number 3: total energy -2.205 eV/atom. Number 4: total energy -2.202 eV/atom. Number 5: total energy -2.656 eV/atom. Number 6: total energy -2.835 eV/atom.